#w
Material: Pr5ZnHg2
Method: DFT, PBE
State: optimized geometry

Cell: 5.363 6.812 13.066 Å, 90.00 90.00 90.00°
Sites, in units of the cell vectors:
1 Hg 0.500 0.620 0.142
2 Pr 0.000 0.349 0.281
3 Pr 0.500 0.846 0.897
4 Pr 0.000 0.000 0.500
5 Pr 0.000 0.651 0.719
6 Hg 0.500 0.380 0.858
7 Pr 0.500 0.346 0.603
8 Pr 0.000 0.849 0.219
9 Pr 0.500 0.154 0.103
10 Zn 0.000 0.000 0.000
11 Hg 0.500 0.880 0.642
12 Pr 0.000 0.500 0.000
13 Zn 0.000 0.500 0.500
14 Hg 0.500 0.120 0.358
15 Pr 0.500 0.654 0.397
16 Pr 0.000 0.151 0.781

Output
- SG = Pbam (55)
- magnetization (Bohr magnetons per cell) = 0.00
- crystal system = orthorhombic

***

#x
Material: Pr5ZnHg2
Method: DFT, PBE
State: optimized geometry

Cell: 5.769 7.194 13.288 Å, 90.00 90.00 113.64°
Sites, in units of the cell vectors:
1 Pr 0.942 0.884 0.610
2 Pr 0.373 0.746 0.050
3 Zn 0.755 0.510 0.750
4 Pr 0.058 0.116 0.390
5 Zn 0.245 0.490 0.250
6 Pr 0.058 0.116 0.110
7 Hg 0.194 0.388 0.876
8 Pr 0.942 0.884 0.890
9 Pr 0.373 0.746 0.450
10 Pr 0.627 0.254 0.950
11 Hg 0.806 0.612 0.376
12 Pr 0.600 0.201 0.250
13 Pr 0.400 0.799 0.750
14 Hg 0.194 0.388 0.624
15 Pr 0.627 0.254 0.550
16 Hg 0.806 0.612 0.124

Output
- SG = Cmcm (63)
- magnetization (Bohr magnetons per cell) = 0.00
- crystal system = orthorhombic

***

Stability verdict: #w, ahead by 0.174 eV/atom

***

#w
Material: Pr3ZnHg2
Method: DFT, PBE
State: optimized geometry

Cell: 3.796 3.796 11.546 Å, 90.00 90.00 90.00°
Sites, in units of the cell vectors:
1 Hg 0.500 0.500 0.175
2 Zn 0.500 0.500 0.500
3 Hg 0.500 0.500 0.825
4 Pr 0.000 0.000 0.348
5 Pr 0.000 0.000 0.000
6 Pr 0.000 0.000 0.652

Output
- SG = P4/mmm (123)
- magnetization (Bohr magnetons per cell) = 0.55
- crystal system = tetragonal

***

#x
Material: Pr3ZnHg2
Method: DFT, PBE
State: optimized geometry

Cell: 5.406 5.406 13.236 Å, 90.00 90.00 120.00°
Sites, in units of the cell vectors:
1 Zn 0.667 0.333 0.335
2 Pr 0.000 0.000 0.745
3 Zn 0.333 0.667 0.665
4 Hg 0.000 0.000 0.500
5 Pr 0.667 0.333 0.088
6 Hg 0.667 0.333 0.831
7 Pr 0.333 0.667 0.912
8 Pr 0.000 0.000 0.255
9 Hg 0.000 0.000 0.000
10 Hg 0.333 0.667 0.169
11 Pr 0.333 0.667 0.417
12 Pr 0.667 0.333 0.583

Output
- SG = P-3m1 (164)
- magnetization (Bohr magnetons per cell) = 2.35
- crystal system = trigonal

***

Stability verdict: #w, ahead by 0.011 eV/atom

***

#w
Material: Pr2ZnHg
Method: DFT, PBE
State: optimized geometry

Cell: 3.777 3.777 7.622 Å, 90.00 90.00 90.00°
Sites, in units of the cell vectors:
1 Zn 0.500 0.500 0.000
2 Hg 0.500 0.500 0.500
3 Pr 0.000 0.000 0.767
4 Pr 0.000 0.000 0.233

Output
- SG = P4/mmm (123)
- magnetization (Bohr magnetons per cell) = 0.00
- crystal system = tetragonal

***

#x
Material: Pr2ZnHg
Method: DFT, PBE
State: optimized geometry

Cell: 5.374 5.374 5.374 Å, 60.00 60.00 60.00°
Sites, in units of the cell vectors:
1 Hg 0.500 0.500 0.500
2 Pr 0.250 0.250 0.250
3 Pr 0.750 0.750 0.750
4 Zn 0.000 0.000 0.000

Output
- SG = Fm-3m (225)
- magnetization (Bohr magnetons per cell) = 0.79
- crystal system = cubic

***

Stability verdict: #w, ahead by 0.024 eV/atom

***

#w
Material: Pr2Zn2Hg3
Method: DFT, PBE
State: optimized geometry

Cell: 3.700 4.525 10.644 Å, 102.27 90.00 90.00°
Sites, in units of the cell vectors:
1 Zn 0.500 0.281 0.562
2 Zn 0.500 0.719 0.438
3 Hg 0.500 0.576 0.151
4 Hg 0.500 0.424 0.849
5 Pr 0.000 0.161 0.321
6 Pr 0.000 0.839 0.679
7 Hg 0.000 0.000 0.000

Output
- SG = Cmmm (65)
- magnetization (Bohr magnetons per cell) = 0.17
- crystal system = orthorhombic

***

#x
Material: Pr2Zn2Hg3
Method: DFT, PBE
State: optimized geometry

Cell: 4.629 7.307 10.456 Å, 90.00 102.79 90.00°
Sites, in units of the cell vectors:
1 Pr 0.164 0.250 0.327
2 Hg 0.779 0.250 0.558
3 Hg 0.433 0.555 0.866
4 Hg 0.221 0.750 0.442
5 Pr 0.951 0.250 0.902
6 Hg 0.567 0.445 0.134
7 Pr 0.836 0.750 0.673
8 Pr 0.049 0.750 0.098
9 Zn 0.310 0.436 0.619
10 Zn 0.690 0.936 0.381
11 Hg 0.433 0.945 0.866
12 Zn 0.690 0.564 0.381
13 Hg 0.567 0.055 0.134
14 Zn 0.310 0.064 0.619

Output
- SG = Cmcm (63)
- magnetization (Bohr magnetons per cell) = 0.00
- crystal system = orthorhombic

***

Stability verdict: #x, ahead by 0.028 eV/atom

***

#w
Material: PrZrHg2
Method: DFT, PBE
State: optimized geometry

Cell: 3.623 3.623 7.641 Å, 90.00 90.00 90.00°
Sites, in units of the cell vectors:
1 Pr 0.500 0.500 0.500
2 Zr 0.500 0.500 0.000
3 Hg 0.000 0.000 0.781
4 Hg 0.000 0.000 0.219

Output
- SG = P4/mmm (123)
- magnetization (Bohr magnetons per cell) = 0.51
- crystal system = tetragonal

***

#x
Material: PrZrHg2
Method: DFT, PBE
State: optimized geometry

Cell: 5.237 5.237 5.237 Å, 60.00 60.00 60.00°
Sites, in units of the cell vectors:
1 Zr 0.500 0.500 0.500
2 Hg 0.250 0.250 0.250
3 Pr 0.000 0.000 0.000
4 Hg 0.750 0.750 0.750

Output
- SG = Fm-3m (225)
- magnetization (Bohr magnetons per cell) = 0.92
- crystal system = cubic

***

#y
Material: PrZrHg2
Method: DFT, PBE
State: optimized geometry

Cell: 3.578 3.578 9.840 Å, 79.52 79.52 60.00°
Sites, in units of the cell vectors:
1 Pr 0.500 0.500 0.500
2 Hg 0.257 0.257 0.229
3 Hg 0.743 0.743 0.771
4 Zr 0.000 0.000 0.000

Output
- SG = R-3m (166)
- magnetization (Bohr magnetons per cell) = 0.00
- crystal system = trigonal

***

Stability verdict: #w, ahead by 0.060 eV/atom

***

#w
Material: Hg3Pt
Method: DFT, PBE
State: optimized geometry

Cell: 6.781 6.781 4.009 Å, 90.00 90.00 105.95°
Sites, in units of the cell vectors:
1 Hg 0.902 0.098 0.750
2 Hg 0.808 0.580 0.750
3 Pt 0.272 0.728 0.750
4 Hg 0.420 0.192 0.750
5 Hg 0.580 0.808 0.250
6 Hg 0.192 0.420 0.250
7 Hg 0.098 0.902 0.250
8 Pt 0.728 0.272 0.250

Output
- SG = Cmcm (63)
- magnetization (Bohr magnetons per cell) = 0.00
- crystal system = orthorhombic

***

#x
Material: Hg3Pt
Method: DFT, PBE
State: optimized geometry

Cell: 4.324 4.324 4.324 Å, 90.00 90.00 90.00°
Sites, in units of the cell vectors:
1 Pt 0.500 0.500 0.000
2 Hg 0.000 0.500 0.500
3 Hg 0.500 0.000 0.500
4 Hg 0.000 0.000 0.000

Output
- SG = Pm-3m (221)
- magnetization (Bohr magnetons per cell) = 0.00
- crystal system = cubic

***

Stability verdict: #w, ahead by 0.080 eV/atom

***

#w
Material: Hg4Pt5
Method: DFT, PBE
State: optimized geometry

Cell: 8.192 8.192 5.643 Å, 90.00 90.00 60.00°
Sites, in units of the cell vectors:
1 Hg 0.357 0.643 0.750
2 Pt 0.688 0.312 0.750
3 Pt 0.000 0.688 0.750
4 Hg 0.643 0.357 0.250
5 Pt 0.312 0.000 0.750
6 Hg 0.643 0.000 0.750
7 Pt 0.312 0.688 0.250
8 Hg 0.000 0.357 0.750
9 Hg 0.357 0.000 0.250
10 Pt 0.688 0.000 0.250
11 Hg 0.000 0.000 0.500
12 Pt 0.333 0.333 0.500
13 Hg 0.000 0.643 0.250
14 Hg 0.000 0.000 0.000
15 Pt 0.000 0.312 0.250
16 Pt 0.667 0.667 0.500
17 Pt 0.667 0.667 0.000
18 Pt 0.333 0.333 0.000

Output
- SG = P6_3/mcm (193)
- magnetization (Bohr magnetons per cell) = 0.00
- crystal system = hexagonal

***

#x
Material: Hg4Pt5
Method: DFT, PBE
State: optimized geometry

Cell: 6.543 6.543 6.543 Å, 96.03 96.03 142.16°
Sites, in units of the cell vectors:
1 Pt 0.664 0.336 0.000
2 Hg 0.000 0.681 0.681
3 Hg 0.000 0.319 0.319
4 Hg 0.681 0.000 0.681
5 Pt 0.000 0.000 0.000
6 Hg 0.319 0.000 0.319
7 Pt 0.336 0.336 0.672
8 Pt 0.664 0.664 0.328
9 Pt 0.336 0.664 0.000

Output
- SG = I4/mmm (139)
- magnetization (Bohr magnetons per cell) = 0.00
- crystal system = tetragonal

***

Stability verdict: #x, ahead by 0.079 eV/atom

***

#w
Material: Hg2Pt3
Method: DFT, PBE
State: optimized geometry

Cell: 4.519 4.519 5.599 Å, 90.00 90.00 120.00°
Sites, in units of the cell vectors:
1 Pt 0.333 0.667 0.335
2 Hg 0.667 0.333 0.181
3 Pt 0.000 0.000 0.000
4 Pt 0.667 0.333 0.665
5 Hg 0.333 0.667 0.819

Output
- SG = P-3m1 (164)
- magnetization (Bohr magnetons per cell) = 0.00
- crystal system = trigonal

***

#x
Material: Hg2Pt3
Method: DFT, PBE
State: optimized geometry

Cell: 8.373 7.397 5.550 Å, 79.18 60.20 40.62°
Sites, in units of the cell vectors:
1 Hg 0.861 0.246 0.524
2 Pt 0.468 0.816 0.904
3 Pt 0.434 0.782 0.438
4 Hg 0.004 0.389 0.881
5 Hg 0.369 0.524 0.246
6 Hg 0.726 0.881 0.389
7 Pt 0.812 0.904 0.816
8 Pt 0.346 0.438 0.782
9 Pt 0.240 0.260 0.260
10 Pt 0.990 0.010 0.010

Output
- SG = Fdd2 (43)
- magnetization (Bohr magnetons per cell) = 0.00
- crystal system = orthorhombic

***

Stability verdict: #x, ahead by 0.215 eV/atom

***

#w
Material: Pu4HgPt2
Method: DFT, PBE
State: optimized geometry

Cell: 5.115 5.115 14.988 Å, 90.00 90.00 120.00°
Sites, in units of the cell vectors:
1 Pt 0.833 0.167 0.938
2 Hg 0.500 0.500 0.750
3 Pu 0.833 0.167 0.131
4 Pu 0.833 0.167 0.369
5 Pt 0.167 0.833 0.438
6 Pu 0.166 0.834 0.250
7 Hg 0.500 0.500 0.250
8 Pu 0.500 0.500 0.500
9 Pt 0.833 0.167 0.562
10 Pu 0.167 0.833 0.869
11 Pu 0.834 0.166 0.750
12 Pu 0.500 0.500 0.000
13 Pt 0.167 0.833 0.062
14 Pu 0.167 0.833 0.631

Output
- SG = P6_3/mmc (194)
- magnetization (Bohr magnetons per cell) = 0.33
- crystal system = hexagonal

***

#x
Material: Pu4HgPt2
Method: DFT, PBE
State: optimized geometry

Cell: 4.907 4.907 7.861 Å, 71.81 71.81 60.00°
Sites, in units of the cell vectors:
1 Pu 0.568 0.568 0.297
2 Pu 0.731 0.731 0.808
3 Pu 0.432 0.432 0.703
4 Hg 0.000 0.000 0.000
5 Pu 0.269 0.269 0.192
6 Pt 0.139 0.139 0.584
7 Pt 0.861 0.861 0.416

Output
- SG = R-3m (166)
- magnetization (Bohr magnetons per cell) = 21.27
- crystal system = trigonal

***

Stability verdict: #x, ahead by 0.011 eV/atom

***

#w
Material: RbHgPt
Method: DFT, PBE
State: optimized geometry

Cell: 5.101 4.688 4.688 Å, 120.00 90.00 90.00°
Sites, in units of the cell vectors:
1 Pt 0.167 0.000 0.000
2 Hg 0.167 0.667 0.333
3 Rb 0.667 0.333 0.667

Output
- SG = P-6m2 (187)
- magnetization (Bohr magnetons per cell) = 0.00
- crystal system = hexagonal

***

#x
Material: RbHgPt
Method: DFT, PBE
State: optimized geometry

Cell: 6.968 8.552 6.903 Å, 90.00 90.00 114.04°
Sites, in units of the cell vectors:
1 Hg 0.250 0.000 0.250
2 Rb 0.180 0.359 0.500
3 Pt 0.089 0.177 0.000
4 Pt 0.911 0.823 0.000
5 Rb 0.320 0.641 0.000
6 Pt 0.411 0.823 0.500
7 Hg 0.250 0.000 0.750
8 Rb 0.680 0.359 0.000
9 Hg 0.750 0.000 0.750
10 Hg 0.750 0.000 0.250
11 Rb 0.820 0.641 0.500
12 Pt 0.589 0.177 0.500

Output
- SG = Cmce (64)
- magnetization (Bohr magnetons per cell) = 0.00
- crystal system = orthorhombic

***

Stability verdict: #w, ahead by 0.045 eV/atom

***

#w
Material: RbHgPt
Method: DFT, PBE
State: optimized geometry

Cell: 3.858 3.858 6.697 Å, 106.74 106.74 90.00°
Sites, in units of the cell vectors:
1 Rb 0.000 0.000 0.001
2 Pt 0.263 0.263 0.527
3 Hg 0.736 0.736 0.472

Output
- SG = I4mm (107)
- magnetization (Bohr magnetons per cell) = 0.00
- crystal system = tetragonal

***

#x
Material: RbHgPt
Method: DFT, PBE
State: optimized geometry

Cell: 4.581 6.152 7.486 Å, 101.69 107.82 90.00°
Sites, in units of the cell vectors:
1 Rb 0.877 0.624 0.753
2 Pt 0.782 0.059 0.564
3 Hg 0.419 0.132 0.838
4 Hg 0.581 0.868 0.162
5 Rb 0.123 0.376 0.247
6 Pt 0.218 0.941 0.436

Output
- SG = C2/m (12)
- magnetization (Bohr magnetons per cell) = 0.00
- crystal system = monoclinic

***

Stability verdict: #x, ahead by 0.095 eV/atom

***

#w
Material: Rb2TiHgPt
Method: DFT, PBE
State: optimized geometry

Cell: 6.644 4.886 6.644 Å, 90.00 90.00 90.00°
Sites, in units of the cell vectors:
1 Rb 0.000 0.000 0.500
2 Hg 0.500 0.500 0.500
3 Rb 0.500 0.000 0.000
4 Ti 0.000 0.500 0.000
5 Pt 0.000 0.000 0.000

Output
- SG = P4/mmm (123)
- magnetization (Bohr magnetons per cell) = 2.44
- crystal system = tetragonal

***

#x
Material: Rb2TiHgPt
Method: DFT, PBE
State: optimized geometry

Cell: 6.434 5.286 6.434 Å, 90.00 90.00 90.00°
Sites, in units of the cell vectors:
1 Hg 0.000 0.500 0.000
2 Rb 0.500 0.000 0.000
3 Pt 0.000 0.000 0.000
4 Rb 0.000 0.000 0.500
5 Ti 0.500 0.500 0.500

Output
- SG = P4/mmm (123)
- magnetization (Bohr magnetons per cell) = 0.14
- crystal system = tetragonal

***

Stability verdict: #w, ahead by 0.583 eV/atom